Entry 1:
## Ho4AgAu2 (PBE)

Data for a geometry-optimized Ho4AgAu2 structure.

```
7
Lattice="-1.8769 -4.3115 -1.0013 2.8814 -3.8123 -0.5276 -0.3975 -4.5478 8.7850" Properties=species:S:1:pos:R:3 pbc="T T T"
Ho 0.3519 -9.7632 6.7528
Ho 0.7467 -8.7714 1.7424
Ho 0.2550 -2.9084 0.5032
Ho -0.1398 -3.9003 5.5136
Ag 0.3035 -6.3358 3.6280
Au 0.5214 -5.7883 0.8620
Au 0.0855 -6.8834 6.3940
```

Calculated values
Space-group type: R-3m
VASP energy (eV/cell): -30.70

Entry 2:
## Ho3Ag3Au2 (PBE)

Data for a geometry-optimized Ho3Ag3Au2 structure.

```
8
Lattice="-2.3372 1.1823 2.5889 -4.8653 2.1253 -5.3630 -0.3523 -6.9722 2.8661" Properties=species:S:1:pos:R:3 pbc="T T T"
Ho -3.2445 -1.3373 0.3010
Ho -4.0982 1.8709 -1.9348
Ho -1.3807 -3.6070 3.0202
Ag -4.0388 -3.7518 -1.9328
Ag -1.0992 0.4802 -1.2117
Ag -0.0796 -1.5752 0.6475
Au -1.8566 -3.9397 0.1231
Au -3.3610 -0.9072 -2.6200
```

Calculated values
Space-group type: P-62m
VASP energy (eV/cell): -33.24

Entry 3:
## HoAg4Au (PBE)

Data for a geometry-optimized HoAg4Au structure.

```
6
Lattice="-2.4923 4.9075 -0.1889 -4.8265 0.5391 -2.5971 -4.6041 0.8635 2.8962" Properties=species:S:1:pos:R:3 pbc="T T T"
Au 0.0000 0.0000 0.0000
Ho -2.9807 1.5775 0.0275
Ag -5.1484 3.5127 -1.3818
Ag -5.0369 3.6752 1.3697
Ag -7.4545 3.9452 0.0688
Ag -6.2061 1.4871 0.1635
```

Calculated values
Space-group type: F-43m
VASP energy (eV/cell): -20.32

Entry 4:
## HoAgAu4 (PBE)

Data for a geometry-optimized HoAgAu4 structure.

```
12
Lattice="-1.1568 2.2635 4.4912 -4.8355 0.5479 -1.7180 0.8436 -9.3066 2.0715" Properties=species:S:1:pos:R:3 pbc="T T T"
Ho -4.4939 2.1080 2.0790
Ho -0.6548 -8.6033 2.7657
Ag -0.1566 -3.5216 3.2813
Ag -1.9959 -4.3794 0.1767
Au -0.8602 -6.0855 4.4080
Au -2.4498 0.4498 3.5451
Au -4.2885 -0.4098 0.4367
Au -2.6989 -6.9451 1.2996
Au 0.0673 -5.9324 1.6000
Au -2.2215 -1.9667 1.8613
Au -5.2160 -0.5629 3.2446
Au -2.9272 -4.5285 2.9834
```

Calculated values
Space-group type: P2/m
VASP energy (eV/cell): -46.09

Entry 5:
## Ho6AgAu5 (PBE)

Data for a geometry-optimized Ho6AgAu5 structure.

```
12
Lattice="4.8275 -0.0288 1.6088 0.0383 7.1189 0.0128 -0.0051 -0.0144 8.0627" Properties=species:S:1:pos:R:3 pbc="T T T"
Au 3.2390 3.5306 6.4391
Au 1.6411 -0.0144 3.1228
Au 0.0191 3.5595 0.0064
Au 3.1812 -0.0288 6.5487
Au 1.6216 3.5450 3.2452
Ho 4.0422 5.3094 4.0609
Ho 4.0231 1.7519 4.0546
Ho 2.4234 1.7941 0.8076
Ho 2.4424 5.2960 0.8139
Ho 0.8375 5.3238 5.6297
Ho 0.8185 1.7663 5.6234
Ag 0.0000 0.0000 0.0000
```

Calculated values
Space-group type: Cmmm
VASP energy (eV/cell): -56.17

Entry 6:
## HoAg2Au (PBE)

Data for a geometry-optimized HoAg2Au structure.

```
4
Lattice="-1.3826 -0.4929 -4.6263 -0.9270 -4.4115 -1.7990 -4.5621 -1.2849 -1.0457" Properties=species:S:1:pos:R:3 pbc="T T T"
Au -3.4359 -3.0946 -3.7355
Ho 0.0000 0.0000 0.0000
Ag -1.7179 -1.5473 -1.8678
Ag -5.1538 -4.6419 -5.6033
```

Calculated values
Space-group type: Fm-3m
VASP energy (eV/cell): -14.90

Entry 7:
## HoAg2Au (PBE)

Data for a geometry-optimized HoAg2Au structure.

```
4
Lattice="-3.0606 0.6103 -3.5397 -0.1206 -4.1590 -0.6128 -3.1989 -0.3070 2.7129" Properties=species:S:1:pos:R:3 pbc="T T T"
Au -3.1900 -1.9278 -0.7198
Ho -1.5303 0.3052 -1.7699
Ag -1.5994 -0.1535 1.3565
Ag -0.0603 -2.0795 -0.3064
```

Calculated values
Space-group type: P4/mmm
VASP energy (eV/cell): -14.77

Entry 8:
## Ho4Ag3Au2 (PBE)

Data for a geometry-optimized Ho4Ag3Au2 structure.

```
9
Lattice="4.9599 0.0006 0.0008 2.4796 4.2914 0.1639 -0.0019 -0.3721 9.6307" Properties=species:S:1:pos:R:3 pbc="T T T"
Ho 4.9579 2.5328 8.6176
Ho 4.9593 -0.1238 3.2291
Ho 2.4782 4.0438 6.5663
Ho 2.4796 1.3871 1.1778
Ag 2.4789 1.2469 4.8261
Ag 0.0000 0.0000 0.0000
Ag 4.9586 2.6730 4.9693
Au 2.4783 1.1298 7.8378
Au 4.9593 2.7901 1.9576
```

Calculated values
Space-group type: P-3m1
VASP energy (eV/cell): -37.92

Number 1: energy relative to the elements -426 meV/atom. Number 2: energy relative to the elements -549 meV/atom. Number 3: energy relative to the elements -177 meV/atom. Number 4: energy relative to the elements -418 meV/atom. Number 5: energy relative to the elements -789 meV/atom. Number 6: energy relative to the elements -335 meV/atom. Number 7: energy relative to the elements -303 meV/atom. Number 8: energy relative to the elements -500 meV/atom.